The following is a DFT calculation (PBE-GGA) of a geometry-optimized PtPbBr2 structure.

The value obtained for the total magnetization is 0.0 μB/f.u. The formation energy (no corrections) comes out at -0.973 eV per formula unit. The value obtained for the total energy is -28.14 eV for the cell shown.

The structure belongs to space group Cm (No. 8); the cell edges are 12.025, 3.993 and 5.535 Å and the angles 90.00°, 90.37° and 90.00°. Symmetry generates all atoms from Pt at (0.000, 0.000, 0.000), Pb at (0.134, 0.500, 0.812), Br at (0.136, 0.000, 0.330) and Br at (0.370, 0.000, 0.812).